1.
ErNp2F11: relaxed, PBE-GGA.

a = 8.416 Å, b = 8.603 Å, c = 8.603 Å
α = 73.37°, β = 60.72°, γ = 60.72°
Atoms (fractional coordinates):
Er: 0.750 0.750 0.750
Er: 0.250 0.250 0.250
Np: 0.654 0.682 0.318
Np: 0.346 0.318 0.682
Np: 0.846 0.182 0.818
Np: 0.154 0.818 0.182
F: 0.649 0.707 0.569
F: 0.351 0.293 0.431
F: 0.075 0.569 0.707
F: 0.851 0.931 0.793
F: 0.925 0.431 0.293
F: 0.149 0.069 0.207
F: 0.425 0.793 0.931
F: 0.575 0.207 0.069
F: 0.500 0.500 0.500
F: 0.000 0.000 0.000
F: 0.873 0.787 0.213
F: 0.127 0.213 0.787
F: 0.627 0.287 0.713
F: 0.373 0.713 0.287
F: 0.447 0.968 0.318
F: 0.553 0.032 0.682
F: 0.268 0.318 0.968
F: 0.053 0.182 0.532
F: 0.732 0.682 0.032
F: 0.947 0.818 0.468
F: 0.232 0.532 0.182
F: 0.768 0.468 0.818

Raw formation energy: -3.649 eV/atom
Density of states at the Fermi level: 12.92 states/eV/f.u.


2.
Pr6Hg2Au: relaxed, PBE-GGA.

a = 3.951 Å, b = 8.985 Å, c = 8.984 Å
α = 120.00°, β = 90.00°, γ = 90.00°
Atoms (fractional coordinates):
Pr: 0.500 0.599 0.000
Pr: 0.500 0.401 0.401
Pr: 0.500 0.000 0.599
Pr: 0.000 0.259 0.000
Pr: 0.000 0.741 0.741
Pr: 0.000 0.000 0.259
Hg: 0.000 0.333 0.667
Hg: 0.000 0.667 0.333
Au: 0.500 0.000 0.000

Polymorph energy (0 for the lowest one): 0.000 eV/atom
Energy of formation from the pure elements: -8.5 kcal/mol of atoms
Density of states at the Fermi level: 8.85 states/eV/f.u.


3.
GeSeOF2: relaxed, PBE-GGA.

a = 4.366 Å, b = 4.366 Å, c = 3.733 Å
α = 90.00°, β = 90.00°, γ = 90.00°
Atoms (fractional coordinates):
Ge: 0.000 0.000 0.000
O: 0.000 0.000 0.500
Se: 0.500 0.500 0.500
F: 0.000 0.500 0.000
F: 0.500 0.000 0.000

Polymorph energy (0 for the lowest one): 0.000 eV/atom
Raw formation energy: -0.805 eV/atom
Density of states at the Fermi level: 1.08 states/eV/f.u.


4.
La6PmSm2: relaxed, PBE-GGA.

a = 5.884 Å, b = 5.884 Å, c = 12.239 Å
α = 103.91°, β = 103.91°, γ = 120.04°
Atoms (fractional coordinates):
La: 0.000 0.168 0.833
La: 0.332 0.500 0.167
La: 0.000 0.832 0.167
La: 0.668 0.500 0.833
La: 0.164 0.664 0.664
La: 0.836 0.336 0.336
Pm: 0.500 0.000 0.000
Sm: 0.334 0.166 0.500
Sm: 0.666 0.834 0.500

Energy of formation from the pure elements: 1.0 kcal/mol of atoms
Density of states at the Fermi level: 14.48 states/eV/f.u.


5.
CaEu2Cu: relaxed, PBE-GGA.

a = 4.090 Å, b = 4.090 Å, c = 10.396 Å
α = 78.65°, β = 78.65°, γ = 60.00°
Atoms (fractional coordinates):
Eu: 0.726 0.726 0.823
Eu: 0.274 0.274 0.177
Ca: 0.500 0.500 0.500
Cu: 0.000 0.000 0.000

Polymorph energy (0 for the lowest one): 0.075 eV/atom
Energy of formation from the pure elements: 0.8 kcal/mol of atoms
Density of states at the Fermi level: 13.47 states/eV/f.u.


6.
Y6H3C2N: relaxed, PBE-GGA.

a = 6.192 Å, b = 6.192 Å, c = 6.086 Å
α = 99.72°, β = 99.72°, γ = 120.04°
Atoms (fractional coordinates):
Y: 0.924 0.593 0.770
Y: 0.745 0.745 0.229
Y: 0.076 0.407 0.230
Y: 0.593 0.924 0.770
Y: 0.255 0.255 0.771
Y: 0.407 0.076 0.230
H: 0.169 0.831 0.500
H: 0.831 0.169 0.500
H: 0.500 0.500 0.500
C: 0.333 0.667 0.000
C: 0.667 0.333 0.000
N: 0.000 0.000 0.000

Uncorrected energy: -83.439 eV per cell
Density of states at the Fermi level: 4.60 states/eV/f.u.


7.
CsRb2CuO2: relaxed, PBE-GGA.

a = 4.678 Å, b = 6.101 Å, c = 11.296 Å
α = 90.00°, β = 90.00°, γ = 90.00°
Atoms (fractional coordinates):
Cs: 0.500 0.500 0.000
Cs: 0.000 0.000 0.500
Rb: 0.500 0.053 0.228
Rb: 0.000 0.553 0.272
Rb: 0.500 0.947 0.772
Rb: 0.000 0.447 0.728
Cu: 0.000 0.000 0.000
Cu: 0.500 0.500 0.500
O: 0.500 0.703 0.382
O: 0.500 0.297 0.618
O: 0.000 0.797 0.882
O: 0.000 0.203 0.118

Raw formation energy: -0.992 eV/atom


8.
Rb2CaZrTl: relaxed, PBE-GGA.

a = 6.682 Å, b = 5.685 Å, c = 6.682 Å
α = 90.00°, β = 90.00°, γ = 90.00°
Atoms (fractional coordinates):
Tl: 0.500 0.500 0.500
Ca: 0.000 0.000 0.000
Rb: 0.000 0.000 0.500
Rb: 0.500 0.000 0.000
Zr: 0.000 0.500 0.000

Energy of formation from the pure elements: 27.4 kcal/mol of atoms
Density of states at the Fermi level: 7.05 states/eV/f.u.